1.
Below is a geometry-optimized Cd2CuW structure, with properties calculated at the PBE level.

## Properties
Energy above the most stable polymorph in this dataset: 448 meV/atom
Energy of formation from the pure elements: 0.787 eV per atom
Total magnetization: 1.47 μB/cell

abc: 4.075 4.075 8.398
angles: 90.00 90.00 90.00
Positions (direct):
Cd: 0.000 0.500 0.250
Cd: 0.000 0.500 0.750
Cd: 0.500 0.000 0.250
Cd: 0.500 0.000 0.750
Cu: 0.000 0.000 0.000
Cu: 0.500 0.500 0.500
W: 0.000 0.000 0.500
W: 0.500 0.500 0.000

***

2.
Below is a geometry-optimized Cd2CuW structure, with properties calculated at the PBE level.

## Properties
Energy above the most stable polymorph in this dataset: 54 meV/atom
Energy of formation from the pure elements: 0.393 eV per atom
Total magnetization: 0.00 μB/cell

abc: 3.735 4.168 8.773
angles: 90.00 90.00 90.00
Positions (direct):
Cd: 0.000 0.000 0.235
Cd: 0.000 0.000 0.765
Cd: 0.500 0.500 0.235
Cd: 0.500 0.500 0.765
Cu: 0.000 0.500 0.000
Cu: 0.500 0.000 0.000
W: 0.000 0.500 0.500
W: 0.500 0.000 0.500

***

3.
Below is a geometry-optimized Cd2CuW structure, with properties calculated at the PBE level.

## Properties
Energy above the most stable polymorph in this dataset: 268 meV/atom
Energy of formation from the pure elements: 0.607 eV per atom
Total magnetization: 0.00 μB/cell

abc: 4.073 4.073 4.131
angles: 90.00 90.00 90.00
Positions (direct):
Cd: 0.000 0.500 0.000
Cd: 0.500 0.000 0.000
Cu: 0.000 0.000 0.500
W: 0.500 0.500 0.500

***

4.
Below is a geometry-optimized CdCuW2 structure, with properties calculated at the PBE level.

## Properties
Energy of formation from the pure elements: 0.444 eV per atom
Total magnetization: 0.00 μB/cell

abc: 3.259 3.259 6.298
angles: 90.00 90.00 90.00
Positions (direct):
Cd: 0.000 0.000 0.000
Cu: 0.500 0.500 0.237
W: 0.000 0.000 0.489
W: 0.500 0.500 0.685